The following is a PBE with a Hubbard U calculation of a geometry-optimized NaCo2Mo2O10 structure, from Alexandria.

```
data_NaCo2Mo2O10
_cell_length_a 10.089
_cell_length_b 5.961
_cell_length_c 8.083
_cell_angle_alpha 90.00
_cell_angle_beta 119.35
_cell_angle_gamma 90.00
_space_group_name_H-M_alt 'C 1 2/m 1'
_space_group_IT_number 12
loop_
_space_group_symop_operation_xyz
'x,y,z'
'-x,-y,-z'
'-x,y,-z'
'x,-y,z'
'x+1/2,y+1/2,z'
'-x+1/2,-y+1/2,-z'
'-x+1/2,y+1/2,-z'
'x+1/2,-y+1/2,z'
loop_
_atom_site_label
_atom_site_type_symbol
_atom_site_fract_x
_atom_site_fract_y
_atom_site_fract_z
_atom_site_occupancy
Na1 Na 0.000 0.000 0.000 1
Co1 Co 0.250 0.250 0.500 1
Mo1 Mo 0.066 0.500 0.758 1
O1 O 0.048 0.253 0.263 1
O2 O 0.155 0.500 0.602 1
O3 O 0.197 0.000 0.578 1
O4 O 0.218 0.500 0.987 1
```

Summary:
The calculation puts the total energy at -188.319 eV/cell.